A plane-wave DFT calculation with PBE was carried out for YSb3Ir after structural relaxation.

Structure (POSCAR):
```
YSb3Ir
1.0
5.636 0.000 0.000
0.000 5.636 0.000
0.000 0.000 5.636
Y Sb Ir
1 3 1
Direct
0.000 0.000 0.000
0.000 0.000 0.500
0.000 0.500 0.000
0.500 0.000 0.000
0.500 0.500 0.500
```

V	35.80	Å³/atom
distance to the lowest polymorph of the same formula	1.1806	eV per atom
energy	-4.19	eV/atom
uncorrected formation energy	1.34	eV per atom